No. 1
Compound: Dy5Sn2Sb2
Source: Alexandria
Functional: PBE-GGA
Structure: relaxed

Results
- ρ: 8.4 Mg/m³
- Uncorrected energy: -94.099 eV per cell
- Uncorrected formation energy: -0.865 eV/atom
- SG: Cmce

Structure (extended XYZ):
```
18
Lattice="8.203 0.000 0.000 0.000 8.170 0.000 0.000 -4.085 7.667" Properties=species:S:1:pos:R:3 pbc="T T T"
Dy 0.000 0.000 0.000
Dy 4.101 4.085 0.000
Dy 6.884 5.417 2.097
Dy 1.318 2.753 2.097
Dy 2.783 6.838 2.097
Dy 5.420 1.332 2.097
Dy 1.318 -1.332 5.570
Dy 6.884 1.332 5.570
Dy 5.420 -2.753 5.570
Dy 2.783 2.753 5.570
Sn 0.000 0.000 3.095
Sn 4.101 4.085 3.095
Sn 0.000 4.085 4.572
Sn 4.101 0.000 4.572
Sb 5.267 7.017 0.000
Sb 2.936 1.154 0.000
Sb 1.165 5.239 0.000
Sb 7.038 2.931 0.000
```

---

No. 2
Compound: DySnSb2
Source: Alexandria
Functional: PBE-GGA
Structure: relaxed

Results
- ρ: 5.4 Mg/m³
- Uncorrected energy: -16.805 eV per cell
- Uncorrected formation energy: 0.011 eV/atom
- SG: R-3m

Structure (extended XYZ):
```
4
Lattice="4.651 0.000 0.000 2.326 4.028 0.000 2.326 1.343 8.565" Properties=species:S:1:pos:R:3 pbc="T T T"
Sb 2.326 1.343 5.783
Sb 6.977 4.028 2.782
Sn 0.000 0.000 0.000
Dy 4.651 2.685 4.283
```

---

No. 3
Compound: DySnSb2
Source: Alexandria
Functional: PBE-GGA
Structure: relaxed

Results
- ρ: 8.1 Mg/m³
- Uncorrected energy: -18.529 eV per cell
- Uncorrected formation energy: -0.420 eV/atom
- SG: P4/mmm

Structure (extended XYZ):
```
4
Lattice="-2.025 -3.325 1.243 0.313 -1.961 -4.735 4.449 -2.251 1.226" Properties=species:S:1:pos:R:3 pbc="T T T"
Sb 2.225 -1.125 0.613
Sb 0.156 -0.980 -2.368
Sn -1.012 -1.662 0.622
Dy 1.369 -3.768 -1.133
```

---

No. 4
Compound: Dy3SnSb2
Source: Alexandria
Functional: PBE-GGA
Structure: relaxed

Results
- ρ: 7.9 Mg/m³
- Uncorrected energy: -63.099 eV per cell
- Uncorrected formation energy: -0.916 eV/atom
- SG: C2/c

Structure (extended XYZ):
```
12
Lattice="-5.728 -0.781 4.730 4.994 -4.817 3.205 1.138 7.536 0.576" Properties=species:S:1:pos:R:3 pbc="T T T"
Dy 1.172 1.714 0.713
Dy -1.038 -0.770 3.524
Dy 2.497 -2.409 1.603
Dy -0.769 0.223 7.798
Dy -2.295 3.377 2.653
Dy 1.442 2.708 4.987
Sn 1.953 0.142 3.291
Sn -1.549 1.795 5.220
Sb 3.240 -3.982 4.169
Sb 0.670 4.250 2.416
Sb -2.837 5.920 4.342
Sb -0.267 -2.313 6.095
```

---

No. 5
Compound: DySnSb2
Source: Alexandria
Functional: PBE-GGA
Structure: relaxed

Results
- ρ: 8.0 Mg/m³
- Uncorrected energy: -18.682 eV per cell
- Uncorrected formation energy: -0.458 eV/atom
- SG: P4/mmm

Structure (extended XYZ):
```
4
Lattice="-0.046 -2.017 3.624 3.592 -1.830 -0.973 3.168 4.781 2.702" Properties=species:S:1:pos:R:3 pbc="T T T"
Sb 2.344 3.537 1.999
Sb 0.824 1.244 0.703
Sn 1.773 -1.924 1.325
Dy 3.357 0.467 2.676
```

---

No. 6
Compound: Dy8SnSb2
Source: Alexandria
Functional: PBE-GGA
Structure: relaxed

Results
- ρ: 8.4 Mg/m³
- Uncorrected energy: -54.119 eV per cell
- Uncorrected formation energy: -0.459 eV/atom
- SG: C2/m

Structure (extended XYZ):
```
11
Lattice="-1.941 1.507 4.197 2.205 -6.019 3.182 8.621 4.770 -0.544" Properties=species:S:1:pos:R:3 pbc="T T T"
Dy 7.322 1.403 2.883
Dy 1.564 2.399 2.679
Dy 4.808 -0.023 5.050
Dy 6.963 4.609 4.383
Dy 4.077 0.281 1.785
Dy 7.321 -2.141 4.155
Dy 1.563 -1.144 3.952
Dy 1.922 -4.350 2.451
Sn -0.971 0.754 2.098
Sb 4.430 2.886 3.830
Sb 4.455 -2.627 3.004
```

---

No. 7
Compound: Dy4SnSb3
Source: Alexandria
Functional: PBE-GGA
Structure: relaxed

Results
- ρ: 7.9 Mg/m³
- Uncorrected energy: -42.530 eV per cell
- Uncorrected formation energy: -0.969 eV/atom
- SG: Pm-3m

Structure (extended XYZ):
```
8
Lattice="6.204 0.000 0.000 0.000 6.204 0.000 0.000 0.000 6.204" Properties=species:S:1:pos:R:3 pbc="T T T"
Sb 0.000 3.102 3.102
Sb 3.102 0.000 3.102
Sb 3.102 3.102 0.000
Sn 0.000 0.000 0.000
Dy 3.102 0.000 0.000
Dy 0.000 3.102 0.000
Dy 0.000 0.000 3.102
Dy 3.102 3.102 3.102
```

---

No. 8
Compound: Dy6SnSb5
Source: Alexandria
Functional: PBE-GGA
Structure: relaxed

Results
- ρ: 7.9 Mg/m³
- Uncorrected energy: -64.489 eV per cell
- Uncorrected formation energy: -1.022 eV/atom
- SG: C2/m

Structure (extended XYZ):
```
12
Lattice="-5.733 -0.445 -4.961 -2.541 -7.148 -0.310 -5.552 -2.262 4.675" Properties=species:S:1:pos:R:3 pbc="T T T"
Sb -6.986 -2.923 0.579
Sb -2.696 -3.137 1.453
Sb -4.137 -3.797 -2.635
Sb -5.397 -6.272 2.912
Sb -6.839 -6.932 -1.175
Sn 0.000 0.000 0.000
Dy -6.369 -1.684 -2.185
Dy -4.767 -5.032 0.145
Dy -2.073 -1.903 -1.320
Dy -6.200 -5.691 -3.950
Dy -9.058 -4.823 -0.740
Dy -7.456 -8.171 1.590
```

---

No. 9
Compound: Dy10Sn3Sb3
Source: Alexandria
Functional: PBE-GGA
Structure: relaxed

Results
- ρ: 8.7 Mg/m³
- Uncorrected energy: -83.655 eV per cell
- Uncorrected formation energy: -0.829 eV/atom
- SG: P-62m

Structure (extended XYZ):
```
16
Lattice="6.430 0.000 0.000 0.000 7.770 -4.486 0.000 0.000 8.973" Properties=species:S:1:pos:R:3 pbc="T T T"
Dy 1.608 5.180 0.000
Dy 1.608 2.590 4.486
Dy 4.821 2.590 4.486
Dy 4.821 5.180 0.000
Dy 3.215 0.000 6.801
Dy 3.215 5.890 -3.401
Dy 3.215 1.880 1.086
Dy 0.000 0.000 2.166
Dy 0.000 1.876 -1.083
Dy 0.000 5.895 3.403
Sn 0.000 0.000 5.450
Sn 0.000 4.720 -2.725
Sn 0.000 3.051 1.761
Sb 3.215 0.000 3.512
Sb 3.215 3.041 -1.756
Sb 3.215 4.729 2.730
```

---

No. 10
Compound: Dy4SnSb
Source: Alexandria
Functional: PBE-GGA
Structure: relaxed

Results
- ρ: 8.5 Mg/m³
- Uncorrected energy: -59.733 eV per cell
- Uncorrected formation energy: -0.555 eV/atom
- SG: C2/c

Structure (extended XYZ):
```
12
Lattice="6.260 -0.286 0.000 -1.930 8.123 0.000 -2.165 -3.918 6.937" Properties=species:S:1:pos:R:3 pbc="T T T"
Dy -2.017 -1.486 5.810
Dy 2.153 3.020 4.294
Dy -1.113 1.629 5.810
Dy -0.952 4.960 4.294
Dy 3.118 -1.041 2.643
Dy 3.278 2.289 1.127
Dy 0.013 0.898 2.643
Dy 4.182 5.404 1.127
Sn 0.600 3.990 1.654
Sn 1.565 -0.072 5.283
Sb 1.565 -0.072 0.033
Sb 0.600 3.990 6.904
```

---

No. 11
Compound: Dy4SnSbTe2
Source: Alexandria
Functional: PBE-GGA
Structure: relaxed

Results
- ρ: 8.0 Mg/m³
- Uncorrected energy: -42.141 eV per cell
- Uncorrected formation energy: -1.165 eV/atom
- SG: P2/m

Structure (extended XYZ):
```
8
Lattice="4.386 0.000 0.000 0.000 7.592 -0.153 0.000 2.670 7.113" Properties=species:S:1:pos:R:3 pbc="T T T"
Dy 0.000 7.619 5.272
Dy 4.386 2.643 1.688
Dy 2.193 6.270 1.672
Dy 2.193 3.993 5.287
Sn 2.193 3.796 -0.077
Sb 0.000 5.131 3.480
Te 0.000 2.670 7.113
Te 2.193 1.335 3.556
```

---

No. 12
Compound: Dy6SnSb2Te3
Source: Alexandria
Functional: PBE-GGA
Structure: relaxed

Results
- ρ: 8.0 Mg/m³
- Uncorrected energy: -63.603 eV per cell
- Uncorrected formation energy: -1.193 eV/atom
- SG: C2/m

Structure (extended XYZ):
```
12
Lattice="-0.738 -4.232 -0.884 0.619 -1.890 8.533 -8.931 3.982 -0.724" Properties=species:S:1:pos:R:3 pbc="T T T"
Dy -5.718 -0.465 7.001
Dy -3.153 -2.576 4.086
Dy -3.332 -1.676 -0.076
Dy 0.118 -0.448 2.047
Dy -9.168 -1.693 4.878
Dy -5.897 0.436 2.839
Sn -0.369 -2.116 -0.442
Sb -6.152 -2.133 4.468
Sb -2.897 -0.008 2.457
Te -0.059 -3.061 3.824
Te -6.441 -1.193 0.211
Te -2.609 -0.947 6.715
```